## Co3Pb (PBE)

Data for a relaxed Co3Pb crystal.

Structure (CIF):
```
data_Co3Pb
_chemical_formula_sum 'Co9 Pb3'
_symmetry_space_group_name_H-M 'R -3 m'
_symmetry_Int_Tables_number 166
_symmetry_space_group_name_Hall '-R 3 2"'
_cell_length_a 8.3991
_cell_length_b 8.3991
_cell_length_c 2.8664
_cell_angle_alpha 90.00
_cell_angle_beta 90.00
_cell_angle_gamma 120.00
loop_
_atom_site_label
_atom_site_fract_x
_atom_site_fract_y
_atom_site_fract_z
Co1 0.0000 0.5000 0.0000
Pb1 0.0000 0.0000 0.0000
```

Calculated values
size of the total moment = 4.49 μB per formula unit
E_form = 0.659 eV/atom